# 1
A plane-wave DFT calculation with GGA-PBE was carried out for a geometry-optimized ErNi3P2 structure.

The structure in POSCAR format:
```
ErNi3P2
1.0
-3.2031 -1.5708 -0.9852
3.3377 1.7667 -6.7166
3.2525 -8.1539 2.4259
Ni P Er
9 6 3
Cartesian
1.3479 -5.1863 -3.0649
-0.4821 -2.2233 -1.8395
2.1584 -8.3301 -0.6877
2.1265 -5.2860 -5.4376
0.0247 -4.8623 0.7204
2.0393 -2.7717 -2.2109
3.8693 -5.7347 -3.4364
1.2288 0.3721 -4.5882
1.2606 -2.6720 0.1618
1.0609 -7.1050 0.9273
0.3563 -4.2129 -1.3932
3.0309 -3.7451 -3.8827
1.1249 -0.6821 -2.5697
2.2623 -7.2759 -2.7061
2.3263 -0.8530 -6.2031
2.8097 -5.4057 -0.5161
0.5774 -2.5523 -4.7597
0.0000 0.0000 0.0000
```

Values from the calculation:
Formation energy from the elements, eV per atom: -0.932
DFT total energy, eV for the cell shown: -114.96
Density of states at the Fermi level, states/eV/atom: 0.54
Energy above the most stable polymorph in this dataset, meV per atom: 0.0

---

# 2
A plane-wave DFT calculation with GGA-PBE was carried out for a geometry-optimized ErNi5P2 structure.

The structure in POSCAR format:
```
ErNi5P2
1.0
-0.8548 3.5573 -0.1453
-4.5150 0.6574 -3.4751
-4.8320 0.8446 2.9721
P Er Ni
2 1 5
Cartesian
-2.5684 1.2605 -0.1628
-7.6335 3.7988 -0.4855
0.0000 0.0000 0.0000
-3.8663 2.8786 0.9564
-6.3355 2.1807 -1.6047
-6.4560 2.2518 0.8473
-3.7458 2.8075 -1.4956
-4.6735 0.7510 -0.2515
```

Values from the calculation:
Formation energy from the elements, eV per atom: -0.728
DFT total energy, eV for the cell shown: -50.11
Density of states at the Fermi level, states/eV/atom: 0.83

---

# 3
A plane-wave DFT calculation with GGA-PBE was carried out for a geometry-optimized ErNi3P2 structure.

The structure in POSCAR format:
```
ErNi3P2
1.0
-1.0197 -0.8085 -3.5060
7.2846 -0.5816 0.0100
-3.2383 -5.5463 2.2207
P Ni Er
4 6 2
Cartesian
2.6633 -2.7883 -2.1261
0.3633 -4.1481 0.8509
3.8569 -5.5135 0.1496
-0.8303 -1.4229 -1.4249
-0.6053 -2.1168 0.6642
-1.3927 -4.4246 -0.5692
3.6319 -4.8195 -1.9394
0.5703 -3.1671 -1.4301
4.4193 -2.5117 -0.7061
2.4562 -3.7692 0.1548
1.8639 -0.6877 -0.3835
1.1627 -6.2487 -0.8918
```

Values from the calculation:
Formation energy from the elements, eV per atom: -0.880
DFT total energy, eV for the cell shown: -76.02
Density of states at the Fermi level, states/eV/atom: 0.73
Energy above the most stable polymorph in this dataset, meV per atom: 52.2

---

# 4
A plane-wave DFT calculation with GGA-PBE was carried out for a geometry-optimized ErNiP2 structure.

The structure in POSCAR format:
```
ErNiP2
1.0
-2.6401 1.5563 -2.1242
-1.7098 -3.2971 -0.3313
-2.8814 2.7244 8.8705
Ni Er P
2 2 4
Cartesian
-3.4119 -0.7331 3.6394
-3.8771 1.6936 2.7429
-1.2263 0.4238 1.7836
-6.0723 0.5328 4.5933
-2.9651 -2.3261 -1.3974
-3.2629 1.1727 4.8676
-3.3708 -0.2096 -2.1793
-4.0303 -0.2138 1.5124
```

Values from the calculation:
Formation energy from the elements, eV per atom: -0.956
DFT total energy, eV for the cell shown: -49.98
Density of states at the Fermi level, states/eV/atom: 0.88

---

# 5
A plane-wave DFT calculation with GGA-PBE was carried out for a geometry-optimized ErNi6P2 structure.

The structure in POSCAR format:
```
ErNi6P2
1.0
3.8023 0.0000 0.0000
0.0000 3.8023 0.0000
0.0000 0.0000 7.8216
P Ni Er
2 6 1
Cartesian
1.9012 1.9012 1.1640
1.9012 1.9012 6.6576
0.0000 0.0000 3.9108
1.9012 1.9012 3.9108
1.9012 0.0000 5.5411
0.0000 1.9012 5.5411
0.0000 1.9012 2.2805
1.9012 0.0000 2.2805
0.0000 0.0000 0.0000
```

Values from the calculation:
Formation energy from the elements, eV per atom: -0.541
DFT total energy, eV for the cell shown: -54.94
Density of states at the Fermi level, states/eV/atom: 1.41

---

# 6
A plane-wave DFT calculation with GGA-PBE was carried out for a geometry-optimized Er3Ni2P3 structure.

The structure in POSCAR format:
```
Er3Ni2P3
1.0
-3.3098 -1.1058 1.7936
-0.2916 -0.9512 -5.4160
5.1353 -12.3123 1.8858
Ni P Er
4 6 6
Cartesian
0.3201 -8.7006 -0.4818
1.2138 -5.6686 -1.2548
-0.3863 -1.8321 -1.8425
1.9202 -12.5371 0.1059
3.4554 -12.8350 -1.5364
0.1570 -6.5177 0.5631
1.3769 -7.8516 -2.2997
1.5914 -10.2548 0.9061
-1.9215 -1.5342 -0.2002
-0.0575 -4.1145 -2.6427
4.2850 -11.1966 1.0046
-1.3018 -6.6475 -2.2090
2.4501 -10.3170 -1.8391
-0.9163 -4.0522 0.1025
-2.7511 -3.1726 -2.7412
2.8357 -7.7218 0.4724
```

Values from the calculation:
Formation energy from the elements, eV per atom: -1.140
DFT total energy, eV for the cell shown: -101.19
Density of states at the Fermi level, states/eV/atom: 0.47

---

# 7
A plane-wave DFT calculation with GGA-PBE was carried out for a geometry-optimized ErNi2P2 structure.

The structure in POSCAR format:
```
ErNi2P2
1.0
-1.4611 3.3820 -1.1680
0.1963 -1.1802 -3.6750
-3.6752 -2.8509 2.7584
P Ni Er
2 2 1
Cartesian
-3.2511 -1.3225 0.2573
-1.6890 0.6733 -2.3419
-2.0568 -1.4621 -1.6673
-2.8833 0.8129 -0.4172
0.0000 0.0000 0.0000
```

Values from the calculation:
Formation energy from the elements, eV per atom: -1.007
DFT total energy, eV for the cell shown: -31.98
Density of states at the Fermi level, states/eV/atom: 0.39

---

# 8
A plane-wave DFT calculation with GGA-PBE was carried out for a geometry-optimized Er2NiP structure.

The structure in POSCAR format:
```
Er2NiP
1.0
3.6937 0.0000 0.0000
1.8469 3.1989 0.0000
1.8469 1.0663 8.3306
Er Ni P
2 1 1
Cartesian
5.5406 3.1989 2.5284
1.8469 1.0663 5.8022
0.0000 0.0000 0.0000
3.6937 2.1326 4.1653
```

Values from the calculation:
Formation energy from the elements, eV per atom: -0.212
DFT total energy, eV for the cell shown: -21.17
Density of states at the Fermi level, states/eV/atom: 0.86

---

# 9
A plane-wave DFT calculation with GGA-PBE was carried out for a geometry-optimized Er6Ni20P13 structure.

The structure in POSCAR format:
```
Er6Ni20P13
1.0
-4.1347 11.1447 4.2644
-4.8424 -4.9022 -10.5832
-2.6227 -1.7407 2.0064
P Ni Er
13 20 6
Cartesian
-8.8973 2.4848 -6.0022
-5.0673 9.4442 1.5698
-4.0313 3.9485 -1.8439
-5.2281 -4.0991 -6.9181
-6.2458 1.4207 -3.4594
-5.8682 7.2667 -1.3663
-1.4134 2.9240 0.6892
0.0000 0.0000 0.0000
-3.6282 0.3435 -0.9722
-3.2123 6.1721 1.1557
-7.0854 -0.7856 -6.4712
-6.6310 5.0191 -4.3135
-4.4224 -1.9059 -3.9619
-4.3706 5.7958 -0.6848
-2.2889 0.4547 0.8750
-2.2067 -1.9176 -4.5483
-3.8391 5.5649 3.2822
-6.8368 -2.6690 -7.7802
-7.7196 4.5042 -6.1832
-5.9179 -0.4236 -4.6309
-5.5223 9.0788 4.1306
-2.4995 2.3865 -1.1968
-5.1444 3.4066 -3.7691
-3.1414 -1.6449 -2.0611
-7.0999 6.9409 -3.2590
-6.4685 -0.1488 -8.5847
-1.3831 0.2012 -1.6334
-7.7754 3.0431 -4.0513
-8.0981 7.2669 -0.8084
-3.5125 8.0599 2.4013
-5.1088 1.9444 -1.5187
-4.7169 -3.3651 -9.0855
-9.2347 5.2427 -4.0505
-3.4459 0.8339 -3.7810
-6.0316 6.7915 1.4803
-4.1693 3.4481 1.0141
-6.1154 1.9210 -6.3274
-4.2583 -1.4146 -6.7937
-6.8450 4.5366 -1.5393
```

Values from the calculation:
Formation energy from the elements, eV per atom: -0.920
DFT total energy, eV for the cell shown: -249.21
Density of states at the Fermi level, states/eV/atom: 0.61

---

# 10
A plane-wave DFT calculation with GGA-PBE was carried out for a geometry-optimized Er2Ni12P3Pd structure.

The structure in POSCAR format:
```
Er2Ni12P3Pd
1.0
5.9975 -1.4294 -1.0139
1.7189 5.9211 -1.0139
1.7189 1.0006 5.9233
Ni Er P Pd
12 2 3 1
Cartesian
4.5455 2.6458 4.3922
2.8255 4.0188 2.8505
4.8899 0.4722 2.8505
6.8124 3.9654 0.2273
2.6230 1.5268 3.6683
6.6099 1.4734 1.0451
4.7446 0.3218 0.2283
4.6908 5.1704 3.6673
4.5455 5.0199 1.0451
4.8899 2.8463 -0.4967
2.6230 3.9667 0.2283
6.8124 1.5254 3.6673
2.8210 1.6421 1.1647
6.6144 3.8501 2.7309
0.8595 2.9605 -0.5069
0.8595 0.5003 2.9617
2.9988 -0.7147 -0.5069
0.0000 0.0000 0.0000
```

Values from the calculation:
Formation energy from the elements, eV per atom: -0.122
DFT total energy, eV for the cell shown: -102.11
Density of states at the Fermi level, states/eV/atom: 1.15

---

# 11
A plane-wave DFT calculation with GGA-PBE was carried out for a geometry-optimized PmErNi2P2 structure.

The structure in POSCAR format:
```
PmErNi2P2
1.0
3.9065 0.0000 0.0000
-1.9533 3.3831 0.0000
0.0000 0.0000 7.8616
Ni P Er Pm
2 2 1 1
Cartesian
0.0000 2.2554 5.8317
1.9533 1.1277 2.0299
1.9533 1.1277 5.8200
0.0000 2.2554 2.0416
0.0000 0.0000 3.9308
0.0000 0.0000 0.0000
```

Values from the calculation:
Formation energy from the elements, eV per atom: -1.201
DFT total energy, eV for the cell shown: -38.90
Density of states at the Fermi level, states/eV/atom: 0.46

---

# 12
A plane-wave DFT calculation with GGA-PBE was carried out for a geometry-optimized Er2Ni3P4Pt structure.

The structure in POSCAR format:
```
Er2Ni3P4Pt
1.0
-3.2082 -1.4217 -2.0143
0.9711 -3.7671 1.1120
-5.1080 0.8978 7.5020
Ni Pt P Er
3 1 4 2
Cartesian
-6.1313 0.0849 5.6419
-0.0952 -1.7815 1.4090
-2.5540 0.4489 3.7510
-3.6725 -2.1455 3.2999
-1.1185 -2.5944 -0.4511
0.0000 0.0000 0.0000
-4.8832 -0.1345 3.8087
-1.3434 -1.5621 3.2421
-3.3981 -1.2010 6.2599
-2.8284 -0.4956 0.7910
```

Values from the calculation:
Formation energy from the elements, eV per atom: -0.954
DFT total energy, eV for the cell shown: -63.69
Density of states at the Fermi level, states/eV/atom: 0.29

---

Copy entry 10 word for word.
A plane-wave DFT calculation with GGA-PBE was carried out for a geometry-optimized Er2Ni12P3Pd structure.

The structure in POSCAR format:
```
Er2Ni12P3Pd
1.0
5.9975 -1.4294 -1.0139
1.7189 5.9211 -1.0139
1.7189 1.0006 5.9233
Ni Er P Pd
12 2 3 1
Cartesian
4.5455 2.6458 4.3922
2.8255 4.0188 2.8505
4.8899 0.4722 2.8505
6.8124 3.9654 0.2273
2.6230 1.5268 3.6683
6.6099 1.4734 1.0451
4.7446 0.3218 0.2283
4.6908 5.1704 3.6673
4.5455 5.0199 1.0451
4.8899 2.8463 -0.4967
2.6230 3.9667 0.2283
6.8124 1.5254 3.6673
2.8210 1.6421 1.1647
6.6144 3.8501 2.7309
0.8595 2.9605 -0.5069
0.8595 0.5003 2.9617
2.9988 -0.7147 -0.5069
0.0000 0.0000 0.0000
```

Values from the calculation:
Formation energy from the elements, eV per atom: -0.122
DFT total energy, eV for the cell shown: -102.11
Density of states at the Fermi level, states/eV/atom: 1.15